Below is a geometry-optimized Li2DyZnPd4 structure, with properties calculated at the PBE level.

Calculated values
* VASP energy: -4.422 eV/atom
* calculated formation energy: -4.90 eV per formula unit

```
Li2DyZnPd4
1.0
-4.219 -0.695 1.216
-0.936 -1.267 4.157
-2.306 6.489 3.835
Li Dy Zn Pd
2 1 1 4
Direct
0.756 0.756 0.732
0.244 0.244 0.268
0.000 0.000 0.000
0.500 0.500 0.500
0.386 0.386 0.843
0.871 0.871 0.386
0.129 0.129 0.614
0.614 0.614 0.157
```

=====

Below is a geometry-optimized LiDy2Zn2Pd5 structure, with properties calculated at the PBE level.

Calculated values
* VASP energy: -4.605 eV/atom
* calculated formation energy: -6.42 eV per formula unit

```
LiDy2Zn2Pd5
1.0
3.758 0.000 0.000
0.000 9.671 0.000
0.000 0.000 9.671
Li Dy Zn Pd
2 4 4 10
Direct
0.000 0.000 0.000
0.000 0.500 0.500
0.000 0.676 0.176
0.000 0.324 0.824
0.000 0.176 0.324
0.000 0.824 0.676
0.000 0.122 0.622
0.000 0.878 0.378
0.000 0.622 0.878
0.000 0.378 0.122
0.500 0.202 0.068
0.500 0.798 0.932
0.500 0.068 0.798
0.500 0.702 0.432
0.500 0.932 0.202
0.500 0.298 0.568
0.500 0.568 0.702
0.500 0.432 0.298
0.500 0.500 0.000
0.500 0.000 0.500
```

=====

Below is a geometry-optimized Li2Dy2ZnPd5 structure, with properties calculated at the PBE level.

Calculated values
* VASP energy: -4.680 eV/atom
* calculated formation energy: -6.53 eV per formula unit

```
Li2Dy2ZnPd5
1.0
3.647 0.000 0.000
0.000 9.511 0.000
0.000 0.000 9.511
Li Dy Zn Pd
4 4 2 10
Direct
0.000 0.120 0.620
0.000 0.880 0.380
0.000 0.620 0.880
0.000 0.380 0.120
0.000 0.679 0.179
0.000 0.321 0.821
0.000 0.179 0.321
0.000 0.821 0.679
0.000 0.000 0.000
0.000 0.500 0.500
0.500 0.204 0.066
0.500 0.796 0.934
0.500 0.066 0.796
0.500 0.704 0.434
0.500 0.934 0.204
0.500 0.296 0.566
0.500 0.566 0.704
0.500 0.434 0.296
0.500 0.500 0.000
0.500 0.000 0.500
```

=====

Below is a geometry-optimized LiDyZn2Pd4 structure, with properties calculated at the PBE level.

Calculated values
* VASP energy: -4.378 eV/atom
* calculated formation energy: -5.19 eV per formula unit

```
LiDyZn2Pd4
1.0
-3.841 1.353 -1.674
-1.513 -1.759 -3.742
-5.452 -5.559 2.227
Li Dy Zn Pd
1 1 2 4
Direct
0.500 0.500 0.500
0.000 0.000 0.000
0.757 0.757 0.728
0.243 0.243 0.272
0.393 0.393 0.822
0.873 0.873 0.382
0.127 0.127 0.618
0.607 0.607 0.178
```

=====

Below is a geometry-optimized LiDyZrPd structure, with properties calculated at the PBE level.

Calculated values
* VASP energy: -5.285 eV/atom
* calculated formation energy: -0.88 eV per formula unit

```
LiDyZrPd
1.0
-0.061 4.834 0.643
-4.152 2.244 1.231
-0.533 1.857 4.478
Li Zr Pd Dy
1 1 1 1
Direct
0.500 0.500 0.500
0.750 0.750 0.750
0.000 0.000 0.000
0.250 0.250 0.250
```

=====

Below is a geometry-optimized LiPmDy structure, with properties calculated at the PBE level.

Calculated values
* VASP energy: -3.670 eV/atom
* calculated formation energy: 0.26 eV per formula unit

```
LiPmDy
1.0
3.711 0.000 0.000
0.000 3.711 0.000
-1.856 -1.856 6.205
Li Dy Pm
1 1 1
Direct
0.664 0.664 0.328
0.015 0.015 0.030
0.321 0.321 0.642
```